The following is a GGA-PBE calculation of crystalline VNi2Se4 at its relaxed geometry, from Alexandria.

Cell lengths 3.529, 6.301, 6.620 Å; angles 119.78, 105.46, 90.00 degrees
Sites, in units of the cell vectors:
V 0.000 0.000 0.000
Se 0.634 0.302 0.267
Se 0.122 0.793 0.243
Se 0.878 0.207 0.757
Se 0.366 0.698 0.733
Ni 0.741 0.767 0.482
Ni 0.259 0.233 0.518

As for the symmetry: C2/m. The uncorrected formation energy comes out at -412.1 meV/atom. Its density of states at the Fermi level is 6.01 states/eV per cell.



The following is a GGA-PBE calculation of crystalline TcHgCl2 at its relaxed geometry, from Alexandria.

Cell lengths 10.245, 10.245, 10.245 Å; angles 19.48, 19.48, 19.48 degrees
Sites, in units of the cell vectors:
Cl 0.464 0.464 0.464
Cl 0.036 0.036 0.036
Tc 0.750 0.750 0.750
Hg 0.250 0.250 0.250

As for the symmetry: R-3m. The uncorrected formation energy comes out at -127.2 meV/atom. Its density of states at the Fermi level is 1.99 states/eV per cell.



The following is a GGA-PBE calculation of crystalline Li2AgMo at its relaxed geometry, from Alexandria.

Cell lengths 4.616, 2.594, 5.382 Å; angles 82.64, 90.00, 90.00 degrees
Sites, in units of the cell vectors:
Li 0.500 0.204 0.225
Li 0.000 0.945 0.018
Mo 0.000 0.465 0.525
Ag 0.500 0.886 0.732

As for the symmetry: Pm. Its density of states at the Fermi level is 2.60 states/eV per cell. Its energy is -16.11 eV per cell.



The following is a GGA-PBE calculation of crystalline PrMg2Bi at its relaxed geometry, from Alexandria.

Cell lengths 5.065, 4.679, 4.679 Å; angles 90.00, 90.00, 90.00 degrees
Sites, in units of the cell vectors:
Pr 0.500 0.500 0.500
Bi 0.500 0.000 0.000
Mg 0.000 0.500 0.000
Mg 0.000 0.000 0.500

As for the symmetry: P4/mmm. Its density of states at the Fermi level is 3.06 states/eV per cell. Its energy is -13.42 eV per cell.



The following is a GGA-PBE calculation of crystalline SmPuInCu at its relaxed geometry, from Alexandria.

Cell lengths 5.230, 5.230, 5.230 Å; angles 60.00, 60.00, 60.00 degrees
Sites, in units of the cell vectors:
Pu 0.000 0.000 0.000
Sm 0.500 0.500 0.500
In 0.750 0.750 0.750
Cu 0.250 0.250 0.250

As for the symmetry: F-43m. Its density of states at the Fermi level is 10.26 states/eV per cell. Its energy is -26.15 eV per cell.



The following is a GGA-PBE calculation of crystalline Li2CoSiB at its relaxed geometry, from Alexandria.

Cell lengths 4.266, 3.786, 4.266 Å; angles 90.00, 90.00, 90.00 degrees
Sites, in units of the cell vectors:
Li 0.500 0.000 0.000
Li 0.000 0.000 0.500
Co 0.000 0.000 0.000
Si 0.500 0.500 0.500
B 0.000 0.500 0.000

As for the symmetry: P4/mmm. The uncorrected formation energy comes out at 742.1 meV/atom. Its density of states at the Fermi level is 2.56 states/eV per cell.



The following is a GGA-PBE calculation of crystalline Pm2GdAg at its relaxed geometry, from Alexandria.

Cell lengths 3.674, 3.674, 8.848 Å; angles 90.00, 90.00, 90.00 degrees
Sites, in units of the cell vectors:
Ag 0.500 0.500 0.000
Pm 0.000 0.000 0.784
Pm 0.000 0.000 0.216
Gd 0.500 0.500 0.500

As for the symmetry: P4/mmm. Its density of states at the Fermi level is 6.03 states/eV per cell. Its energy is -26.85 eV per cell.



The following is a GGA-PBE calculation of crystalline TaTc2Pt at its relaxed geometry, from Alexandria.

Cell lengths 2.808, 4.862, 5.607 Å; angles 54.37, 90.00, 90.00 degrees
Sites, in units of the cell vectors:
Pt 0.500 0.500 0.500
Tc 0.500 0.500 0.000
Tc 0.000 0.000 0.000
Ta 0.000 0.000 0.500

As for the symmetry: P2/m. Its density of states at the Fermi level is 3.99 states/eV per cell. Its energy is -39.54 eV per cell.



The following is a GGA-PBE calculation of crystalline Mg2ScSb at its relaxed geometry, from Alexandria.

Cell lengths 6.053, 6.053, 6.053 Å; angles 139.76, 139.57, 58.36 degrees
Sites, in units of the cell vectors:
Sb 0.750 0.250 0.500
Mg 0.000 0.000 0.000
Mg 0.500 0.500 0.000
Sc 0.250 0.750 0.500

As for the symmetry: Immm. The uncorrected formation energy comes out at -350.3 meV/atom. Its density of states at the Fermi level is 2.80 states/eV per cell.



The following is a GGA-PBE calculation of crystalline SrTaRu2 at its relaxed geometry, from Alexandria.

Cell lengths 4.695, 4.695, 4.695 Å; angles 60.00, 60.00, 60.00 degrees
Sites, in units of the cell vectors:
Ru 0.250 0.250 0.250
Ru 0.750 0.750 0.750
Sr 0.000 0.000 0.000
Ta 0.500 0.500 0.500

As for the symmetry: Fm-3m. Its density of states at the Fermi level is 3.07 states/eV per cell. Its energy is -30.67 eV per cell.



The following is a GGA-PBE calculation of crystalline TcBiSe2N at its relaxed geometry, from Alexandria.

Cell lengths 5.170, 5.170, 3.751 Å; angles 90.00, 90.00, 90.00 degrees
Sites, in units of the cell vectors:
Se 0.000 0.500 0.000
Se 0.500 0.000 0.000
Tc 0.000 0.000 0.000
N 0.000 0.000 0.500
Bi 0.500 0.500 0.500

As for the symmetry: P4/mmm. The uncorrected formation energy comes out at 145.1 meV/atom. Its density of states at the Fermi level is 3.81 states/eV per cell.



The following is a GGA-PBE calculation of crystalline KNaTmCl5 at its relaxed geometry, from Alexandria.

Cell lengths 7.701, 7.701, 9.985 Å; angles 101.23, 101.23, 112.16 degrees
Sites, in units of the cell vectors:
Cl 0.253 0.362 0.556
Cl 0.927 0.073 0.750
Cl 0.074 0.705 0.905
Cl 0.362 0.253 0.056
Cl 0.295 0.926 0.595
Cl 0.073 0.927 0.250
Cl 0.705 0.074 0.405
Cl 0.926 0.295 0.095
Cl 0.747 0.638 0.444
Cl 0.638 0.747 0.944
K 0.653 0.347 0.750
K 0.347 0.653 0.250
Tm 0.000 0.000 0.500
Tm 0.000 0.000 0.000
Na 0.313 0.687 0.750
Na 0.687 0.313 0.250

As for the symmetry: C2/c. The uncorrected formation energy comes out at -2085.4 meV/atom. Its density of states at the Fermi level is 0.00 states/eV per cell.



The following is a GGA-PBE calculation of crystalline SiAgPb2 at its relaxed geometry, from Alexandria.

Cell lengths 3.482, 3.482, 7.987 Å; angles 90.00, 90.00, 90.00 degrees
Sites, in units of the cell vectors:
Si 0.500 0.500 0.250
Pb 0.000 0.000 0.496
Pb 0.000 0.000 0.004
Ag 0.500 0.500 0.750

As for the symmetry: P4/mmm. The uncorrected formation energy comes out at 332.8 meV/atom. Its density of states at the Fermi level is 1.19 states/eV per cell.



The following is a GGA-PBE calculation of crystalline Ba3DySi2O8 at its relaxed geometry, from Alexandria.

Cell lengths 5.767, 5.767, 7.736 Å; angles 90.00, 90.00, 120.00 degrees
Sites, in units of the cell vectors:
Si 0.333 0.667 0.228
Si 0.667 0.333 0.772
O 0.667 0.333 0.980
O 0.178 0.356 0.309
O 0.333 0.667 0.020
O 0.822 0.644 0.691
O 0.644 0.822 0.309
O 0.178 0.822 0.309
O 0.356 0.178 0.691
O 0.822 0.178 0.691
Ba 0.333 0.667 0.688
Ba 0.667 0.333 0.312
Ba 0.000 0.000 0.000
Dy 0.000 0.000 0.500

As for the symmetry: P-3m1. The uncorrected formation energy comes out at -2886.5 meV/atom. Its density of states at the Fermi level is 3.54 states/eV per cell.



The following is a GGA-PBE calculation of crystalline TmCu3P2 at its relaxed geometry, from Alexandria.

Cell lengths 3.853, 7.521, 7.161 Å; angles 116.50, 90.00, 104.84 degrees
Sites, in units of the cell vectors:
Tm 0.146 0.291 0.053
Tm 0.854 0.709 0.947
P 0.512 0.024 0.179
P 0.796 0.592 0.280
P 0.488 0.976 0.821
P 0.204 0.408 0.720
Cu 0.947 0.894 0.609
Cu 0.686 0.372 0.428
Cu 0.601 0.202 0.675
Cu 0.399 0.798 0.325
Cu 0.314 0.628 0.572
Cu 0.053 0.106 0.391

As for the symmetry: C2/m. Its density of states at the Fermi level is 2.37 states/eV per cell. Its energy is -61.58 eV per cell.



The following is a GGA-PBE calculation of crystalline Pr3DyY6Tm2 at its relaxed geometry, from Alexandria.

Cell lengths 6.229, 6.229, 11.866 Å; angles 95.01, 95.01, 119.97 degrees
Sites, in units of the cell vectors:
Pr 0.167 0.833 0.500
Pr 0.833 0.167 0.500
Pr 0.500 0.500 0.500
Y 0.082 0.415 0.245
Y 0.585 0.918 0.755
Y 0.252 0.252 0.755
Y 0.415 0.082 0.245
Y 0.918 0.585 0.755
Y 0.748 0.748 0.245
Tm 0.333 0.667 0.000
Tm 0.667 0.333 0.000
Dy 0.000 0.000 0.000

As for the symmetry: C2/m. Its density of states at the Fermi level is 17.54 states/eV per cell. Its energy is -66.40 eV per cell.



The following is a GGA-PBE calculation of crystalline MnTlGe2 at its relaxed geometry, from Alexandria.

Cell lengths 4.894, 4.894, 4.894 Å; angles 60.00, 60.00, 60.00 degrees
Sites, in units of the cell vectors:
Ge 0.250 0.250 0.250
Ge 0.750 0.750 0.750
Tl 0.500 0.500 0.500
Mn 0.000 0.000 0.000

As for the symmetry: Fm-3m. Its density of states at the Fermi level is 3.75 states/eV per cell. Its energy is -18.76 eV per cell.



The following is a GGA-PBE calculation of crystalline AgWSe at its relaxed geometry, from Alexandria.

Cell lengths 4.389, 4.389, 4.389 Å; angles 60.00, 60.00, 60.00 degrees
Sites, in units of the cell vectors:
Se 0.500 0.500 0.500
W 0.250 0.250 0.250
Ag 0.000 0.000 0.000

As for the symmetry: F-43m. The uncorrected formation energy comes out at 887.8 meV/atom. Its density of states at the Fermi level is 2.39 states/eV per cell.



The following is a GGA-PBE calculation of crystalline VAuSN2 at its relaxed geometry, from Alexandria.

Cell lengths 3.809, 3.809, 6.706 Å; angles 90.00, 90.00, 90.00 degrees
Sites, in units of the cell vectors:
Au 0.000 0.000 0.000
V 0.500 0.500 0.500
N 0.000 0.500 0.000
N 0.500 0.000 0.000
S 0.000 0.000 0.500

As for the symmetry: P4/mmm. The uncorrected formation energy comes out at 1684.4 meV/atom. Its density of states at the Fermi level is 8.09 states/eV per cell.



The following is a GGA-PBE calculation of crystalline TlRe2Au at its relaxed geometry, from Alexandria.

Cell lengths 9.547, 9.547, 9.547 Å; angles 17.59, 17.59, 17.59 degrees
Sites, in units of the cell vectors:
Re 0.497 0.497 0.497
Re 0.003 0.003 0.003
Tl 0.250 0.250 0.250
Au 0.750 0.750 0.750

As for the symmetry: R-3m. Its density of states at the Fermi level is 3.19 states/eV per cell. Its energy is -26.85 eV per cell.